Here is a relaxed HgSb2Pt crystal from the Alexandria database. Energies are from PBE.

Structure (POSCAR):
```
HgSb2Pt
1.0
-2.1201 2.1201 5.0693
2.1201 -2.1201 5.0693
2.1201 2.1201 -5.0693
Hg Sb Pt
1 2 1
direct
0.0000 0.0000 0.0000 Hg
0.5000 0.5000 0.0000 Sb
0.7500 0.2500 0.5000 Sb
0.2500 0.7500 0.5000 Pt
```

**Formation energy from raw total energies**: 0.2006 eV per atom

Here is a relaxed PuAs12Ru4 crystal from the Alexandria database. Energies are from PBE.

Structure (POSCAR):
```
PuAs12Ru4
1.0
-4.2919 4.2919 4.2919
4.2919 -4.2919 4.2919
4.2919 4.2919 -4.2919
Pu As Ru
1 12 4
direct
0.0000 0.0000 0.0000 Pu
0.1494 0.3469 0.4963 As
0.1494 0.6531 0.8025 As
0.1975 0.8506 0.3469 As
0.3469 0.1975 0.8506 As
0.3469 0.4963 0.1494 As
0.4963 0.1494 0.3469 As
0.5037 0.8506 0.6531 As
0.6531 0.5037 0.8506 As
0.6531 0.8025 0.1494 As
0.8025 0.1494 0.6531 As
0.8506 0.3469 0.1975 As
0.8506 0.6531 0.5037 As
0.0000 0.0000 0.5000 Ru
0.0000 0.5000 0.0000 Ru
0.5000 0.0000 0.0000 Ru
0.5000 0.5000 0.5000 Ru
```

**Formation enthalpy at 0 K**: -413.1 meV/atom

no.,DOS at the Fermi energy (states/eV/cell)
1,1.446
2,8.390